Record 1
AcLaI2O | PBE-GGA | relaxed

```
10
Lattice="4.381 0.000 0.000 0.000 4.381 0.000 0.000 0.000 16.020" Properties=species:S:1:pos:R:3 pbc="T T T"
Ac 1.095 1.095 1.220
Ac 3.286 3.286 14.800
La 1.095 1.095 9.193
La 3.286 3.286 6.828
I 1.095 1.095 5.790
I 1.095 1.095 12.931
I 3.286 3.286 3.089
I 3.286 3.286 10.231
O 1.095 3.286 0.000
O 3.286 1.095 0.000
```

Summary:
Theoretical density in g cm⁻³: 6.9
E_tot in eV/atom: -5.468
Formation energy without anion corrections in kJ per mole of atoms: -197.67
N(E_F) in states/eV/cell: 3.60

Record 2
BaHfMg2Cd | PBE-GGA | relaxed

```
5
Lattice="5.299 0.000 0.000 0.000 5.299 0.000 0.000 0.000 5.634" Properties=species:S:1:pos:R:3 pbc="T T T"
Ba 0.000 0.000 0.000
Hf 2.650 2.650 0.000
Mg 0.000 2.650 2.817
Mg 2.650 0.000 2.817
Cd 2.650 2.650 2.817
```

Summary:
Theoretical density in g cm⁻³: 5.0
E_tot in eV/atom: -2.728
Energy above the lowest structure with this stoichiometry in meV per atom: 0
N(E_F) in states/eV/cell: 5.70
ΔH_f (0 K) in eV/atom: 0.468

Record 3
Cu2OsSe | PBE-GGA | relaxed

```
8
Lattice="5.273 0.000 0.000 0.000 8.226 0.000 0.000 0.000 2.635" Properties=species:S:1:pos:R:3 pbc="T T T"
Cu 1.318 2.057 0.000
Cu 1.318 6.170 0.000
Cu 3.955 2.057 0.000
Cu 3.955 6.170 0.000
Os 0.000 0.000 1.318
Os 2.636 4.113 1.318
Se 0.000 4.113 1.318
Se 2.636 0.000 1.318
```

Summary:
Theoretical density in g cm⁻³: 11.5
E_tot in eV/atom: -5.200
Formation energy without anion corrections in kJ per mole of atoms: 50.82
N(E_F) in states/eV/cell: 6.56

Record 4
La4Pm3Ag | PBE-GGA | relaxed

```
8
Lattice="3.747 0.000 0.000 0.000 3.747 0.000 0.000 0.000 19.338" Properties=species:S:1:pos:R:3 pbc="T T T"
La 0.000 0.000 1.980
La 0.000 0.000 7.101
La 0.000 0.000 12.237
La 0.000 0.000 17.358
Pm 1.873 1.873 4.579
Pm 1.873 1.873 9.669
Pm 1.873 1.873 14.759
Ag 1.873 1.873 0.000
```

Summary:
Theoretical density in g cm⁻³: 6.7
E_tot in eV/atom: -4.644
N(E_F) in states/eV/cell: 13.37
ΔH_f (0 K) in eV/atom: -0.043

Record 5
BPtN | PBE-GGA | relaxed

```
6
Lattice="2.989 0.000 0.000 -1.061 4.818 0.000 -0.885 -1.464 4.866" Properties=species:S:1:pos:R:3 pbc="T T T"
B 0.022 0.479 1.977
B 1.021 2.875 2.889
Pt 0.233 1.281 0.026
Pt 0.810 2.073 4.839
N -0.442 -0.732 2.433
N 0.522 1.677 2.433
```

Summary:
Theoretical density in g cm⁻³: 10.4
E_tot in eV/atom: -6.973
Formation energy without anion corrections in kJ per mole of atoms: 3.99
N(E_F) in states/eV/cell: 2.11

Record 6
AcPm7Tl5 | PBE-GGA | relaxed

```
13
Lattice="-3.361 5.483 5.634 3.361 -5.483 5.634 3.361 5.483 -5.634" Properties=species:S:1:pos:R:3 pbc="T T T"
Ac 0.000 0.000 0.000
Pm 3.361 2.140 -0.293
Pm 3.361 0.000 2.453
Pm 3.361 -1.732 5.557
Pm 0.000 0.000 3.918
Pm 3.361 1.732 5.557
Pm 0.000 0.000 7.460
Pm 0.000 3.344 5.341
Tl 1.687 2.671 2.626
Tl 5.034 2.671 2.626
Tl 0.000 5.483 2.804
Tl -1.673 2.812 8.260
Tl 1.673 2.812 8.260
```

Summary:
Theoretical density in g cm⁻³: 9.1
E_tot in eV/atom: -3.997
N(E_F) in states/eV/cell: 14.71
ΔH_f (0 K) in eV/atom: -0.213

Record 7
SrCa3 | PBE-GGA | relaxed

```
16
Lattice="8.937 0.000 0.000 0.000 8.937 0.000 0.000 0.000 8.937" Properties=species:S:1:pos:R:3 pbc="T T T"
Sr 0.000 0.000 0.000
Sr 0.000 4.468 4.468
Sr 4.468 0.000 4.468
Sr 4.468 4.468 0.000
Ca 0.000 0.000 4.468
Ca 0.000 4.468 0.000
Ca 2.234 2.234 2.234
Ca 2.234 2.234 6.703
Ca 2.234 6.703 2.234
Ca 2.234 6.703 6.703
Ca 4.468 0.000 0.000
Ca 4.468 4.468 4.468
Ca 6.703 2.234 2.234
Ca 6.703 2.234 6.703
Ca 6.703 6.703 2.234
Ca 6.703 6.703 6.703
```

Summary:
Theoretical density in g cm⁻³: 1.9
E_tot in eV/atom: -1.892
Energy above the lowest structure with this stoichiometry in meV per atom: 15
N(E_F) in states/eV/cell: 25.99
ΔH_f (0 K) in eV/atom: 0.029

Record 8
TmSn2Rh | PBE-GGA | relaxed

```
12
Lattice="4.477 0.000 0.000 -2.238 3.877 0.000 0.000 0.000 15.305" Properties=species:S:1:pos:R:3 pbc="T T T"
Tm 0.000 0.000 0.000
Tm 0.000 2.585 10.203
Tm 2.238 1.292 5.102
Sn 0.000 0.000 3.467
Sn 0.000 0.000 11.838
Sn 0.000 2.585 6.736
Sn 0.000 2.585 13.670
Sn 2.238 1.292 1.634
Sn 2.238 1.292 8.569
Rh 0.000 0.000 7.652
Rh 0.000 2.585 2.551
Rh 2.238 1.292 12.754
```

Summary:
Theoretical density in g cm⁻³: 9.6
E_tot in eV/atom: -5.518
N(E_F) in states/eV/cell: 4.84
ΔH_f (0 K) in eV/atom: -0.561

Record 9
CaMg | PBE-GGA | relaxed

```
12
Lattice="5.603 0.000 0.000 0.000 4.032 0.000 0.000 0.000 16.671" Properties=species:S:1:pos:R:3 pbc="T T T"
Ca 0.000 0.000 0.000
Ca 0.000 0.000 5.283
Ca 0.000 2.016 8.335
Ca 0.000 2.016 13.618
Ca 2.801 0.000 2.633
Ca 2.801 2.016 10.968
Mg 0.000 0.000 10.979
Mg 0.000 2.016 2.644
Mg 2.801 0.000 8.006
Mg 2.801 0.000 13.922
Mg 2.801 2.016 5.587
Mg 2.801 2.016 16.341
```

Summary:
Theoretical density in g cm⁻³: 1.7
E_tot in eV/atom: -1.854
N(E_F) in states/eV/cell: 11.09
ΔH_f (0 K) in eV/atom: -0.056

Record 10
SmHoCuOs | PBE-GGA | relaxed

```
16
Lattice="6.920 0.000 0.000 0.000 6.920 0.000 0.000 0.000 6.920" Properties=species:S:1:pos:R:3 pbc="T T T"
Sm 0.000 0.000 0.000
Sm 0.000 3.460 3.460
Sm 3.460 0.000 3.460
Sm 3.460 3.460 0.000
Ho 0.000 0.000 3.460
Ho 0.000 3.460 0.000
Ho 3.460 0.000 0.000
Ho 3.460 3.460 3.460
Cu 1.730 1.730 5.190
Cu 1.730 5.190 1.730
Cu 5.190 1.730 1.730
Cu 5.190 5.190 5.190
Os 1.730 1.730 1.730
Os 1.730 5.190 5.190
Os 5.190 1.730 5.190
Os 5.190 5.190 1.730
```

Summary:
Theoretical density in g cm⁻³: 11.4
E_tot in eV/atom: -6.356
N(E_F) in states/eV/cell: 11.28
ΔH_f (0 K) in eV/atom: -0.200

Record 11
Nd2SmHo | PBE-GGA | relaxed

```
8
Lattice="5.139 0.000 0.000 0.000 5.139 0.000 0.000 0.000 10.248" Properties=species:S:1:pos:R:3 pbc="T T T"
Nd 0.000 0.000 0.000
Nd 0.000 2.569 2.562
Nd 2.569 0.000 7.686
Nd 2.569 2.569 5.124
Sm 0.000 2.569 7.686
Sm 2.569 0.000 2.562
Ho 0.000 0.000 5.124
Ho 2.569 2.569 0.000
```

Summary:
Theoretical density in g cm⁻³: 7.4
E_tot in eV/atom: -4.692
Energy above the lowest structure with this stoichiometry in meV per atom: 3
N(E_F) in states/eV/cell: 11.68
ΔH_f (0 K) in eV/atom: 0.016

Record 12
LiBPPd2 | PBE-GGA | relaxed

```
5
Lattice="4.246 0.000 0.000 0.000 4.246 0.000 0.000 0.000 3.959" Properties=species:S:1:pos:R:3 pbc="T T T"
Li 0.000 0.000 0.000
B 2.123 2.123 1.980
P 0.000 0.000 1.980
Pd 0.000 2.123 0.000
Pd 2.123 0.000 0.000
```

Summary:
Theoretical density in g cm⁻³: 6.1
E_tot in eV/atom: -3.770
N(E_F) in states/eV/cell: 3.80
ΔH_f (0 K) in eV/atom: 1.108